VASP calculation (GGA+U) on a relaxed structure of LiFe8O12.

Lattice parameters (Å, degrees): 4.9710 5.3238 8.3114 100.26 90.10 91.33
Fractional coordinates of all 21 atoms:
Li  0.0000  0.0000  0.0000
Fe  0.0041  0.2402  0.3515
Fe  0.4237  0.7371  0.3315
Fe  0.4758  0.2379  0.5837
Fe  0.4910  0.7107  0.8068
Fe  0.5167  0.1524  0.1170
Fe  0.9315  0.6041  0.1221
Fe  0.9648  0.7385  0.5832
Fe  0.9773  0.2021  0.7553
O  0.1244  0.0587  0.5269
O  0.1470  0.8797  0.7966
O  0.1525  0.9315  0.1983
O  0.2623  0.4361  0.1822
O  0.2643  0.5430  0.4945
O  0.3164  0.3765  0.7904
O  0.6222  0.0939  0.3647
O  0.6583  0.8042  0.0226
O  0.6774  0.9547  0.6784
O  0.7807  0.4677  0.6699
O  0.7918  0.5873  0.3450
O  0.8260  0.2969  0.9806

Output
space-group type: P1 (1)
excess energy over the best structure of this formula in the dataset: 0.228 eV per atom